# 1
## Co2BPH (PBE)

Data for an optimized crystal structure of Co2BPH.

```
data_Co2BPH
_chemical_formula_sum 'Co2 B1 P1 H1'
_space_group_name_H-M_alt 'P 4/m m m'
_space_group_IT_number 123
_space_group_name_Hall '-P 4 2'
_cell_length_a 4.167
_cell_length_b 4.167
_cell_length_c 2.918
_cell_angle_alpha 90.00
_cell_angle_beta 90.00
_cell_angle_gamma 90.00
loop_
_atom_site_label
_atom_site_fract_x
_atom_site_fract_y
_atom_site_fract_z
_atom_site_occupancy
Co1 0.000 0.500 0.000 1
B1 0.000 0.000 0.500 1
P1 0.500 0.500 0.000 1
H1 0.500 0.500 0.500 1
```

density of states at the Fermi level = 0.34 states/eV per atom
V = 50.7 Å³/f.u.

---

# 2
## RbCoB2H8 (PBE)

Data for an optimized crystal structure of RbCoB2H8.

```
data_RbCoB2H8
_chemical_formula_sum 'Rb3 Co3 B6 H24'
_space_group_name_H-M_alt 'R -3'
_space_group_IT_number 148
_space_group_name_Hall '-R 3'
_cell_length_a 4.3961
_cell_length_b 4.3961
_cell_length_c 20.8301
_cell_angle_alpha 90.00
_cell_angle_beta 90.00
_cell_angle_gamma 120.00
loop_
_atom_site_label
_atom_site_fract_x
_atom_site_fract_y
_atom_site_fract_z
_atom_site_occupancy
Rb1 0.0000 0.0000 0.0000 1
Co1 0.0000 0.0000 0.5000 1
B1 0.0000 0.0000 0.2327 1
H1 0.0000 0.0000 0.2916 1
H2 0.0412 0.4228 0.8817 1
```

V = 116.2 Å³/f.u.

---

# 3
## ScCo2BH (PBE)

Data for an optimized crystal structure of ScCo2BH.

```
data_ScCo2BH
_chemical_formula_sum 'Sc4 Co8 B4 H4'
_space_group_name_H-M_alt 'C m c m'
_space_group_IT_number 63
_space_group_name_Hall '-C 2c 2'
_cell_length_a 3.144
_cell_length_b 9.480
_cell_length_c 6.509
_cell_angle_alpha 90.00
_cell_angle_beta 90.00
_cell_angle_gamma 90.00
loop_
_atom_site_label
_atom_site_fract_x
_atom_site_fract_y
_atom_site_fract_z
_atom_site_occupancy
Sc1 0.000 0.053 0.250 1
Co1 0.000 0.334 0.063 1
B1 0.000 0.229 0.750 1
H1 0.000 0.500 0.000 1
```

density of states at the Fermi level = 0.99 states/eV per atom
V = 48.5 Å³/f.u.

---

# 4
## CoSiB2H (PBE)

Data for an optimized crystal structure of CoSiB2H.

```
data_CoSiB2H
_chemical_formula_sum 'Co1 Si1 B2 H1'
_space_group_name_H-M_alt 'P 4/m m m'
_space_group_IT_number 123
_space_group_name_Hall '-P 4 2'
_cell_length_a 3.814
_cell_length_b 3.814
_cell_length_c 3.240
_cell_angle_alpha 90.00
_cell_angle_beta 90.00
_cell_angle_gamma 90.00
loop_
_atom_site_label
_atom_site_fract_x
_atom_site_fract_y
_atom_site_fract_z
_atom_site_occupancy
Co1 0.000 0.000 0.000 1
Si1 0.500 0.500 0.500 1
B1 0.000 0.500 0.000 1
H1 0.000 0.000 0.500 1
```

density of states at the Fermi level = 0.63 states/eV per atom
V = 47.1 Å³/f.u.

---

# 5
## SrCo2BH (PBE)

Data for an optimized crystal structure of SrCo2BH.

```
data_SrCo2BH
_chemical_formula_sum 'Sr1 Co2 B1 H1'
_space_group_name_H-M_alt 'P 4/m m m'
_space_group_IT_number 123
_space_group_name_Hall '-P 4 2'
_cell_length_a 3.738
_cell_length_b 3.738
_cell_length_c 5.619
_cell_angle_alpha 90.00
_cell_angle_beta 90.00
_cell_angle_gamma 90.00
loop_
_atom_site_label
_atom_site_fract_x
_atom_site_fract_y
_atom_site_fract_z
_atom_site_occupancy
Sr1 0.000 0.000 0.000 1
Co1 0.000 0.500 0.500 1
B1 0.500 0.500 0.500 1
H1 0.500 0.500 0.000 1
```

density of states at the Fermi level = 0.77 states/eV per atom
V = 78.5 Å³/f.u.

---

# 6
## CoB2HW (PBE)

Data for an optimized crystal structure of CoB2HW.

```
data_CoB2HW
_chemical_formula_sum 'Co1 B2 H1 W1'
_space_group_name_H-M_alt 'P 4/m m m'
_space_group_IT_number 123
_space_group_name_Hall '-P 4 2'
_cell_length_a 3.578
_cell_length_b 3.578
_cell_length_c 4.602
_cell_angle_alpha 90.00
_cell_angle_beta 90.00
_cell_angle_gamma 90.00
loop_
_atom_site_label
_atom_site_fract_x
_atom_site_fract_y
_atom_site_fract_z
_atom_site_occupancy
Co1 0.000 0.000 0.000 1
B1 0.000 0.500 0.000 1
H1 0.500 0.500 0.500 1
W1 0.000 0.000 0.500 1
```

density of states at the Fermi level = 0.44 states/eV per atom
V = 58.9 Å³/f.u.

---

# 7
## ZnCoB2H (PBE)

Data for an optimized crystal structure of ZnCoB2H.

```
data_ZnCoB2H
_chemical_formula_sum 'Zn1 Co1 B2 H1'
_space_group_name_H-M_alt 'P 4/m m m'
_space_group_IT_number 123
_space_group_name_Hall '-P 4 2'
_cell_length_a 3.726
_cell_length_b 3.726
_cell_length_c 4.742
_cell_angle_alpha 90.00
_cell_angle_beta 90.00
_cell_angle_gamma 90.00
loop_
_atom_site_label
_atom_site_fract_x
_atom_site_fract_y
_atom_site_fract_z
_atom_site_occupancy
Zn1 0.000 0.000 0.000 1
Co1 0.000 0.000 0.500 1
B1 0.000 0.500 0.000 1
H1 0.500 0.500 0.500 1
```

density of states at the Fermi level = 0.96 states/eV per atom
V = 65.8 Å³/f.u.

---

# 8
## ZrCoB2H (PBE)

Data for an optimized crystal structure of ZrCoB2H.

```
data_ZrCoB2H
_chemical_formula_sum 'Zr1 Co1 B2 H1'
_space_group_name_H-M_alt 'P 4/m m m'
_space_group_IT_number 123
_space_group_name_Hall '-P 4 2'
_cell_length_a 4.504
_cell_length_b 4.504
_cell_length_c 4.828
_cell_angle_alpha 90.00
_cell_angle_beta 90.00
_cell_angle_gamma 90.00
loop_
_atom_site_label
_atom_site_fract_x
_atom_site_fract_y
_atom_site_fract_z
_atom_site_occupancy
Zr1 0.000 0.000 0.000 1
Co1 0.000 0.000 0.500 1
B1 0.000 0.500 0.000 1
H1 0.500 0.500 0.500 1
```

density of states at the Fermi level = 0.91 states/eV per atom
V = 97.9 Å³/f.u.

---

How do the records compare in spin magnetization? In the order shown, they have 1.41, 2.00, 1.25, 0.00, 1.94, 0.76, 1.76, 1.46 μB per formula unit.
How do the records compare in electronic total energy? In the order shown, they have -5.1654, -4.0881, -6.5586, -5.0071, -4.8758, -6.0842, -3.0609, -4.0934 eV per atom.